The following is a DFT calculation (GGA-PBE) of crystalline SrCo2Te at its relaxed geometry.

```
SrCo2Te
1.0
4.324 0.000 0.000
-2.162 3.744 0.000
0.000 0.000 16.023
Sr Co Te
3 6 3
Direct
0.000 0.000 0.000
0.333 0.667 0.667
0.667 0.333 0.333
0.000 0.000 0.187
0.000 0.000 0.813
0.333 0.667 0.480
0.333 0.667 0.854
0.667 0.333 0.146
0.667 0.333 0.520
0.000 0.000 0.500
0.333 0.667 0.167
0.667 0.333 0.833
```

Results
Formation energy from raw total energies: -2.267 kcal/mol of atoms
DOS at the Fermi energy: 1.42 states/eV/atom
Magnetization: 4.37 μB per cell

---

The following is a DFT calculation (GGA-PBE) of crystalline Sm3Pu at its relaxed geometry.

```
Sm3Pu
1.0
3.561 0.000 0.000
0.000 5.808 0.000
0.000 0.000 6.258
Sm Pu
3 1
Direct
0.000 0.000 0.000
0.000 0.500 0.331
0.500 0.000 0.508
0.500 0.500 0.829
```

Results
ΔE to the lowest computed polymorph: 27 meV/atom
DOS at the Fermi energy: 3.26 states/eV/atom
DFT formation energy: 136 meV per atom
Magnetization: 6.45 μB per cell

---

The following is a DFT calculation (GGA-PBE) of crystalline YTaZn2 at its relaxed geometry.

```
YTaZn2
1.0
4.390 0.000 0.000
0.000 4.390 0.000
0.000 0.000 18.848
Y Ta Zn
4 4 8
Direct
0.000 0.000 0.000
0.000 0.500 0.250
0.500 0.000 0.750
0.500 0.500 0.500
0.000 0.000 0.500
0.000 0.500 0.750
0.500 0.000 0.250
0.500 0.500 0.000
0.155 0.250 0.625
0.250 0.655 0.875
0.250 0.845 0.375
0.345 0.250 0.125
0.655 0.750 0.125
0.750 0.155 0.375
0.750 0.345 0.875
0.845 0.750 0.625
```

Results
ΔE to the lowest computed polymorph: 615 meV/atom
DOS at the Fermi energy: 0.83 states/eV/atom
DFT formation energy: 583 meV per atom
Magnetization: 0.00 μB per cell

---

The following is a DFT calculation (GGA-PBE) of crystalline TaTlOs2 at its relaxed geometry.

```
TaTlOs2
1.0
4.528 0.000 0.000
0.000 4.528 0.000
0.000 0.000 3.307
Ta Tl Os
1 1 2
Direct
0.000 0.000 0.000
0.500 0.500 0.000
0.000 0.500 0.500
0.500 0.000 0.500
```

Results
ΔE to the lowest computed polymorph: 174 meV/atom
DOS at the Fermi energy: 0.17 states/eV/atom
DFT formation energy: 455 meV per atom
Magnetization: 0.00 μB per cell

---

The following is a DFT calculation (GGA-PBE) of crystalline CaCe2NdTe4 at its relaxed geometry.

```
CaCe2NdTe4
1.0
7.807 0.000 0.000
0.000 4.472 0.000
-2.560 0.000 7.389
Ca Ce Nd Te
1 2 1 4
Direct
0.000 0.000 0.000
0.500 0.000 0.500
0.500 0.500 0.000
0.000 0.500 0.500
0.245 0.500 0.245
0.248 0.000 0.752
0.752 0.000 0.248
0.755 0.500 0.755
```

Results
Formation energy from raw total energies: -32.822 kcal/mol of atoms
DOS at the Fermi energy: 2.09 states/eV/atom
Magnetization: 0.12 μB per cell

---

The following is a DFT calculation (GGA-PBE) of crystalline Th3V5S12 at its relaxed geometry.

```
Th3V5S12
1.0
-7.550 7.550 7.550
7.550 -7.550 7.550
7.550 7.550 -7.550
Th V S
12 20 48
Direct
0.125 0.250 0.375
0.125 0.375 0.750
0.250 0.375 0.125
0.250 0.875 0.625
0.375 0.125 0.250
0.375 0.750 0.125
0.625 0.250 0.875
0.625 0.875 0.750
0.750 0.125 0.375
0.750 0.625 0.875
0.875 0.625 0.250
0.875 0.750 0.625
0.000 0.000 0.000
0.000 0.000 0.500
0.000 0.500 0.000
0.000 0.500 0.500
0.125 0.750 0.875
0.125 0.875 0.250
0.250 0.125 0.875
0.250 0.625 0.375
0.375 0.250 0.625
0.375 0.625 0.750
0.500 0.000 0.000
0.500 0.000 0.500
0.500 0.500 0.000
0.500 0.500 0.500
0.625 0.375 0.250
0.625 0.750 0.375
0.750 0.375 0.625
0.750 0.875 0.125
0.875 0.125 0.750
0.875 0.250 0.125
0.031 0.209 0.120
0.031 0.322 0.911
0.089 0.620 0.411
0.089 0.709 0.678
0.089 0.880 0.411
0.089 0.969 0.678
0.120 0.031 0.209
0.120 0.589 0.911
0.178 0.209 0.589
0.178 0.469 0.589
0.209 0.120 0.031
0.209 0.589 0.178
0.291 0.322 0.911
0.291 0.469 0.380
0.322 0.911 0.031
0.322 0.911 0.291
0.380 0.291 0.469
0.380 0.589 0.911
0.411 0.089 0.620
0.411 0.089 0.880
0.411 0.822 0.531
0.411 0.822 0.791
0.469 0.380 0.291
0.469 0.589 0.178
0.531 0.411 0.822
0.531 0.620 0.709
0.589 0.178 0.209
0.589 0.178 0.469
0.589 0.911 0.120
0.589 0.911 0.380
0.620 0.411 0.089
0.620 0.709 0.531
0.678 0.089 0.709
0.678 0.089 0.969
0.709 0.531 0.620
0.709 0.678 0.089
0.791 0.411 0.822
0.791 0.880 0.969
0.822 0.531 0.411
0.822 0.791 0.411
0.880 0.411 0.089
0.880 0.969 0.791
0.911 0.031 0.322
0.911 0.120 0.589
0.911 0.291 0.322
0.911 0.380 0.589
0.969 0.678 0.089
0.969 0.791 0.880
```

Results
Formation energy from raw total energies: -28.813 kcal/mol of atoms
DOS at the Fermi energy: 0.61 states/eV/atom
Magnetization: 49.53 μB per cell

---

The following is a DFT calculation (GGA-PBE) of crystalline HoZr2H at its relaxed geometry.

```
HoZr2H
1.0
3.202 0.000 0.000
-1.601 2.773 0.000
0.000 0.000 26.518
Ho Zr H
3 6 3
Direct
0.000 0.000 0.000
0.333 0.667 0.667
0.667 0.333 0.333
0.000 0.000 0.116
0.000 0.000 0.884
0.333 0.667 0.550
0.333 0.667 0.783
0.667 0.333 0.217
0.667 0.333 0.450
0.000 0.000 0.500
0.333 0.667 0.167
0.667 0.333 0.833
```

Results
DOS at the Fermi energy: 1.26 states/eV/atom
Electronic total energy: -6.1745 eV/atom
Magnetization: 0.00 μB per cell

---

The following is a DFT calculation (GGA-PBE) of crystalline BaRhPb2 at its relaxed geometry.

```
BaRhPb2
1.0
4.642 0.000 0.000
0.000 4.642 0.000
0.000 0.000 5.250
Ba Rh Pb
1 1 2
Direct
0.000 0.000 0.000
0.500 0.500 0.000
0.000 0.500 0.500
0.500 0.000 0.500
```

Results
DOS at the Fermi energy: 0.61 states/eV/atom
DFT formation energy: 9 meV per atom
Magnetization: 0.00 μB per cell

---

The following is a DFT calculation (GGA-PBE) of crystalline Ca2AcTmSe4 at its relaxed geometry.

```
Ca2AcTmSe4
1.0
7.332 0.000 0.000
0.000 4.206 0.000
-2.410 0.000 6.960
Ca Ac Tm Se
2 1 1 4
Direct
0.000 0.000 0.000
0.500 0.500 0.000
0.000 0.500 0.500
0.500 0.000 0.500
0.267 0.500 0.252
0.271 0.000 0.760
0.729 0.000 0.240
0.733 0.500 0.748
```

Results
Formation energy from raw total energies: -42.388 kcal/mol of atoms
DOS at the Fermi energy: 0.45 states/eV/atom
Magnetization: 0.00 μB per cell

---

The following is a DFT calculation (GGA-PBE) of crystalline POs2W at its relaxed geometry.

```
POs2W
1.0
2.841 0.000 0.000
0.000 4.016 0.000
-1.334 0.000 5.013
P Os W
1 2 1
Direct
0.000 0.000 0.000
0.359 0.500 0.233
0.641 0.500 0.767
0.000 0.000 0.500
```

Results
DOS at the Fermi energy: 0.58 states/eV/atom
DFT formation energy: 69 meV per atom
Magnetization: 0.00 μB per cell

---

The following is a DFT calculation (GGA-PBE) of crystalline SrInAu at its relaxed geometry.

```
SrInAu
1.0
7.786 0.000 0.000
0.000 4.783 0.000
0.000 0.000 8.705
Sr In Au
4 4 4
Direct
0.025 0.250 0.184
0.475 0.750 0.684
0.525 0.250 0.316
0.975 0.750 0.816
0.156 0.250 0.566
0.344 0.750 0.066
0.656 0.250 0.934
0.844 0.750 0.434
0.220 0.750 0.383
0.280 0.250 0.883
0.720 0.750 0.117
0.780 0.250 0.617
```

Results
DOS at the Fermi energy: 0.49 states/eV/atom
DFT formation energy: -653 meV per atom
Magnetization: 0.00 μB per cell

---

The following is a DFT calculation (GGA-PBE) of crystalline TbPmY2S4 at its relaxed geometry.

```
TbPmY2S4
1.0
6.855 0.000 0.000
0.000 3.914 0.000
-2.242 0.000 6.495
Tb Pm Y S
1 1 2 4
Direct
0.000 0.000 0.000
0.500 0.500 0.000
0.000 0.500 0.500
0.500 0.000 0.500
0.243 0.000 0.742
0.247 0.500 0.254
0.753 0.500 0.746
0.757 0.000 0.258
```

Results
Formation energy from raw total energies: -46.272 kcal/mol of atoms
DOS at the Fermi energy: 0.63 states/eV/atom
Magnetization: 0.00 μB per cell

---

The following is a DFT calculation (GGA-PBE) of crystalline Mn3Cr at its relaxed geometry.

```
Mn3Cr
1.0
2.825 0.000 0.000
0.000 3.985 0.000
0.000 0.000 7.920
Mn Cr
6 2
Direct
0.000 0.000 0.000
0.000 0.500 0.249
0.000 0.500 0.751
0.500 0.000 0.249
0.500 0.000 0.751
0.500 0.500 0.000
0.000 0.000 0.500
0.500 0.500 0.500
```

Results
DOS at the Fermi energy: 1.77 states/eV/atom
DFT formation energy: 111 meV per atom
Magnetization: 5.40 μB per cell

---

The following is a DFT calculation (GGA-PBE) of crystalline Ca2RhS at its relaxed geometry.

```
Ca2RhS
1.0
7.445 0.000 0.000
0.000 7.445 0.000
0.000 0.000 6.675
Ca Rh S
8 4 4
Direct
0.245 0.750 0.125
0.250 0.245 0.875
0.250 0.255 0.375
0.255 0.750 0.625
0.745 0.250 0.625
0.750 0.745 0.375
0.750 0.755 0.875
0.755 0.250 0.125
0.000 0.000 0.500
0.000 0.500 0.750
0.500 0.000 0.250
0.500 0.500 0.000
0.000 0.000 0.000
0.000 0.500 0.250
0.500 0.000 0.750
0.500 0.500 0.500
```

Results
Formation energy from raw total energies: -14.724 kcal/mol of atoms
DOS at the Fermi energy: 0.58 states/eV/atom
Magnetization: 0.00 μB per cell

---

The following is a DFT calculation (GGA-PBE) of crystalline Y3TaPd at its relaxed geometry.

```
Y3TaPd
1.0
5.316 0.000 0.000
0.000 5.316 0.000
0.000 0.000 5.316
Y Ta Pd
3 1 1
Direct
0.000 0.000 0.500
0.000 0.500 0.000
0.500 0.000 0.000
0.500 0.500 0.500
0.000 0.000 0.000
```

Results
ΔE to the lowest computed polymorph: 0 meV/atom
DOS at the Fermi energy: 1.34 states/eV/atom
DFT formation energy: 499 meV per atom
Magnetization: 1.62 μB per cell

---

The following is a DFT calculation (GGA-PBE) of crystalline KSmGeSe3 at its relaxed geometry.

```
KSmGeSe3
1.0
8.670 0.000 0.000
0.000 4.108 0.000
-3.376 0.000 10.656
K Sm Ge Se
2 2 2 6
Direct
0.241 0.250 0.282
0.759 0.750 0.718
0.355 0.750 0.844
0.645 0.250 0.156
0.127 0.250 0.560
0.873 0.750 0.440
0.097 0.250 0.775
0.329 0.750 0.574
0.397 0.750 0.112
0.603 0.250 0.888
0.671 0.250 0.426
0.903 0.750 0.225
```

Results
Formation energy from raw total energies: -28.474 kcal/mol of atoms
Magnetization: 0.00 μB per cell

---

The following is a DFT calculation (GGA-PBE) of crystalline NpSnIrPt at its relaxed geometry.

```
NpSnIrPt
1.0
6.778 0.000 0.000
0.000 6.778 0.000
0.000 0.000 6.778
Np Sn Ir Pt
4 4 4 4
Direct
0.000 0.000 0.000
0.000 0.500 0.500
0.500 0.000 0.500
0.500 0.500 0.000
0.000 0.000 0.500
0.000 0.500 0.000
0.500 0.000 0.000
0.500 0.500 0.500
0.250 0.250 0.250
0.250 0.750 0.750
0.750 0.250 0.750
0.750 0.750 0.250
0.250 0.250 0.750
0.250 0.750 0.250
0.750 0.250 0.250
0.750 0.750 0.750
```

Results
DOS at the Fermi energy: 1.79 states/eV/atom
DFT formation energy: -319 meV per atom
Magnetization: 12.51 μB per cell

---

The following is a DFT calculation (GGA-PBE) of crystalline Ni2HIrPd at its relaxed geometry.

```
Ni2HIrPd
1.0
3.819 0.000 0.000
0.000 3.819 0.000
0.000 0.000 3.724
Ni H Ir Pd
2 1 1 1
Direct
0.000 0.500 0.000
0.500 0.000 0.000
0.000 0.000 0.000
0.500 0.500 0.500
0.000 0.000 0.500
```

Results
ΔE to the lowest computed polymorph: 49 meV/atom
DOS at the Fermi energy: 1.32 states/eV/atom
Magnetization: 0.00 μB per cell

---

The following is a DFT calculation (GGA-PBE) of crystalline LuMgAl4 at its relaxed geometry.

```
LuMgAl4
1.0
0.000 3.859 3.859
3.859 0.000 3.859
3.859 3.859 0.000
Lu Mg Al
1 1 4
Direct
0.000 0.000 0.000
0.250 0.250 0.250
0.124 0.625 0.625
0.625 0.124 0.625
0.625 0.625 0.124
0.625 0.625 0.625
```

Results
DOS at the Fermi energy: 0.48 states/eV/atom
DFT formation energy: -232 meV per atom
Magnetization: 0.00 μB per cell

---

The following is a DFT calculation (GGA-PBE) of crystalline Sr3TcAg at its relaxed geometry.

```
Sr3TcAg
1.0
5.677 0.000 0.000
0.000 5.677 0.000
0.000 0.000 5.677
Sr Tc Ag
3 1 1
Direct
0.000 0.000 0.500
0.000 0.500 0.000
0.500 0.000 0.000
0.000 0.000 0.000
0.500 0.500 0.500
```

Results
ΔE to the lowest computed polymorph: 0 meV/atom
DOS at the Fermi energy: 0.57 states/eV/atom
DFT formation energy: 562 meV per atom
Magnetization: 0.00 μB per cell

---

The following is a DFT calculation (GGA-PBE) of crystalline TmNi2As at its relaxed geometry.

```
TmNi2As
1.0
3.580 0.000 0.000
0.000 3.918 0.000
0.000 0.000 4.939
Tm Ni As
1 2 1
Direct
0.000 0.000 0.000
0.500 0.500 0.244
0.500 0.500 0.756
0.500 0.000 0.500
```

Results
DOS at the Fermi energy: 0.74 states/eV/atom
DFT formation energy: -525 meV per atom
Magnetization: 0.00 μB per cell

---

The following is a DFT calculation (GGA-PBE) of crystalline NaYAs2O8 at its relaxed geometry.

```
NaYAs2O8
1.0
-2.557 2.557 5.758
2.557 -2.557 5.758
2.557 2.557 -5.758
Na Y As O
1 1 2 8
Direct
0.000 0.000 0.000
0.750 0.250 0.500
0.250 0.750 0.500
0.500 0.500 0.000
0.024 0.923 0.600
0.077 0.677 0.101
0.168 0.285 0.619
0.323 0.424 0.400
0.451 0.832 0.117
0.576 0.976 0.899
0.666 0.549 0.381
0.715 0.334 0.883
```

Results
Formation energy from raw total energies: -36.570 kcal/mol of atoms
DOS at the Fermi energy: 0.59 states/eV/atom
Magnetization: 2.03 μB per cell

---

The following is a DFT calculation (GGA-PBE) of crystalline LiMg4Os at its relaxed geometry.

```
LiMg4Os
1.0
0.000 3.843 3.843
3.843 0.000 3.843
3.843 3.843 0.000
Li Mg Os
1 4 1
Direct
0.000 0.000 0.000
0.128 0.624 0.624
0.624 0.128 0.624
0.624 0.624 0.128
0.624 0.624 0.624
0.250 0.250 0.250
```

Results
DOS at the Fermi energy: 1.07 states/eV/atom
DFT formation energy: 506 meV per atom
Magnetization: 0.03 μB per cell